# TlRhS2 | Alexandria via LeMat-Bulk | GGA-PBEsol | relaxed
data_TlRhS2
_chemical_formula_sum 'Tl1 Rh1 S2'
_symmetry_space_group_name_H-M 'P 1'
_symmetry_Int_Tables_number 1
_cell_length_a 8.380
_cell_length_b 8.380
_cell_length_c 8.380
_cell_angle_alpha 24.19
_cell_angle_beta 24.19
_cell_angle_gamma 24.19
loop_
_symmetry_equiv_pos_as_xyz
'x,y,z'
loop_
_atom_site_label
_atom_site_type_symbol
_atom_site_fract_x
_atom_site_fract_y
_atom_site_fract_z
Tl1 Tl 0.000 0.000 0.000
Rh1 Rh 0.500 0.500 0.500
S1 S 0.119 0.119 0.119
S2 S 0.881 0.881 0.881
# - total DFT energy (no corrections) (eV/atom) = -5.255